Density functional theory data (PBE) for a relaxed MgOs2Br crystal.

Cell and atoms, written as CIF:
```
data_MgOs2Br
_space_group_name_H-M_alt 'P 1'
_space_group_IT_number 1
_cell_length_a 2.893
_cell_length_b 4.253
_cell_length_c 6.060
_cell_angle_alpha 90.00
_cell_angle_beta 90.00
_cell_angle_gamma 90.00
loop_
_space_group_symop_operation_xyz
'x,y,z'
loop_
_atom_site_label
_atom_site_fract_x
_atom_site_fract_y
_atom_site_fract_z
_atom_site_occupancy
Mg1 0.000 0.000 0.000 1
Os1 0.500 0.500 0.188 1
Os2 0.500 0.500 0.812 1
Br1 0.000 0.000 0.500 1
```

Values from the calculation:
The calculated volume comes out at 75 Å³ per cell. The density of states at the Fermi level comes out at 3.26 states/eV/cell. The formation energy from raw total energies is 0.9918 eV/atom.



Density functional theory data (PBE) for a relaxed Er5Ir2Se2 crystal.

Cell and atoms, written as CIF:
```
data_Er5Ir2Se2
_space_group_name_H-M_alt 'P 1'
_space_group_IT_number 1
_cell_length_a 8.341
_cell_length_b 8.341
_cell_length_c 7.566
_cell_angle_alpha 90.00
_cell_angle_beta 90.00
_cell_angle_gamma 54.07
loop_
_space_group_symop_operation_xyz
'x,y,z'
loop_
_atom_site_label
_atom_site_fract_x
_atom_site_fract_y
_atom_site_fract_z
_atom_site_occupancy
Er1 0.000 0.000 0.000 1
Er2 0.037 0.715 0.657 1
Er3 0.215 0.537 0.157 1
Er4 0.285 0.963 0.657 1
Er5 0.463 0.785 0.157 1
Er6 0.500 0.500 0.500 1
Er7 0.537 0.215 0.843 1
Er8 0.715 0.037 0.343 1
Er9 0.785 0.463 0.843 1
Er10 0.963 0.285 0.343 1
Ir1 0.140 0.860 0.362 1
Ir2 0.360 0.640 0.862 1
Ir3 0.640 0.360 0.138 1
Ir4 0.860 0.140 0.638 1
Se1 0.208 0.208 0.000 1
Se2 0.292 0.292 0.500 1
Se3 0.708 0.708 0.500 1
Se4 0.792 0.792 0.000 1
```

Values from the calculation:
The calculated volume comes out at 426 Å³ per cell. The density of states at the Fermi level comes out at 13.01 states/eV/cell. The formation energy from raw total energies is -1.2194 eV/atom.